Record 1
# HfInH

Crystalline HfInH at its relaxed geometry (PBE, Alexandria via LeMat-Bulk).

Computed properties:
symmetry = Pnma (62)
excess energy over the best structure of this formula in the dataset = 379 meV per atom
final energy = -63.92 eV/cell

Unit cell a=5.994 b=3.359 c=10.649 alpha=90.00 beta=90.00 gamma=90.00
Element x y z (fractional)
1 In 0.136 0.750 0.597
2 Hf 0.374 0.250 0.382
3 In 0.636 0.750 0.903
4 H 0.878 0.750 0.203
5 In 0.364 0.250 0.097
6 Hf 0.874 0.250 0.118
7 Hf 0.626 0.750 0.618
8 In 0.864 0.250 0.403
9 Hf 0.126 0.750 0.882
10 H 0.122 0.250 0.797
11 H 0.378 0.750 0.297
12 H 0.622 0.250 0.703

Record 2
# Th4Te2PRh

Crystalline Th4Te2PRh at its relaxed geometry (PBE, Alexandria via LeMat-Bulk).

Computed properties:
symmetry = P2/m (10)
final energy = -58.14 eV/cell
uncorrected formation energy = -1.177 eV/atom

Unit cell a=4.126 b=7.507 c=7.803 alpha=107.77 beta=90.00 gamma=90.00
Element x y z (fractional)
1 Te 0.000 0.500 0.500
2 Th 0.000 0.726 0.207
3 Rh 0.500 0.500 0.000
4 Th 0.000 0.274 0.793
5 Th 0.500 0.768 0.788
6 P 0.000 0.000 0.000
7 Th 0.500 0.232 0.212
8 Te 0.500 0.000 0.500

Record 3
# CeAl2Au10

Crystalline CeAl2Au10 at its relaxed geometry (PBE, Alexandria via LeMat-Bulk).

Computed properties:
DFT formation energy = -0.327 eV per atom
symmetry = Fmmm (69)
final energy = -50.45 eV/cell

Unit cell a=5.619 b=7.469 c=7.030 alpha=81.35 beta=66.44 gamma=67.90
Element x y z (fractional)
1 Al 0.000 0.500 0.000
2 Ce 0.000 0.000 0.000
3 Au 0.508 0.768 0.215
4 Al 0.500 0.500 0.000
5 Au 0.985 0.344 0.686
6 Au 0.277 0.232 0.215
7 Au 0.015 0.656 0.314
8 Au 0.329 0.656 0.686
9 Au 0.500 0.000 0.500
10 Au 0.723 0.768 0.785
11 Au 0.492 0.232 0.785
12 Au 0.671 0.344 0.314
13 Au 0.000 0.000 0.500

Record 4
# LaVP2Cl

Crystalline LaVP2Cl at its relaxed geometry (PBE, Alexandria via LeMat-Bulk).

Computed properties:
symmetry = P4/mmm (123)
excess energy over the best structure of this formula in the dataset = 0 meV per atom
final energy = -30.77 eV/cell
uncorrected formation energy = -0.812 eV/atom

Unit cell a=4.589 b=4.589 c=4.826 alpha=90.00 beta=90.00 gamma=90.00
Element x y z (fractional)
1 V 0.000 0.000 0.000
2 Cl 0.000 0.000 0.500
3 La 0.500 0.500 0.500
4 P 0.000 0.500 0.000
5 P 0.500 0.000 0.000

Record 5
# Sc4Ir

Crystalline Sc4Ir at its relaxed geometry (PBE, Alexandria via LeMat-Bulk).

Computed properties:
DFT formation energy = -0.344 eV per atom
symmetry = I4/m (87)
excess energy over the best structure of this formula in the dataset = 50 meV per atom
final energy = -35.91 eV/cell

Unit cell a=5.230 b=5.230 c=5.230 alpha=103.61 beta=103.61 gamma=121.97
Element x y z (fractional)
1 Sc 0.643 0.818 0.461
2 Sc 0.182 0.643 0.825
3 Ir 0.000 0.000 0.000
4 Sc 0.818 0.357 0.175
5 Sc 0.357 0.182 0.539

Record 6
# LuCdCuRh

Crystalline LuCdCuRh at its relaxed geometry (PBE, Alexandria via LeMat-Bulk).

Computed properties:
DFT formation energy = -0.400 eV per atom
symmetry = F-43m (216)
final energy = -18.48 eV/cell

Unit cell a=4.661 b=4.661 c=4.661 alpha=60.00 beta=60.00 gamma=60.00
Element x y z (fractional)
1 Cd 0.000 0.000 0.000
2 Rh 0.250 0.250 0.250
3 Lu 0.500 0.500 0.500
4 Cu 0.750 0.750 0.750